The following is a GGA-PBE calculation of crystalline Pm4NdHo5 at its relaxed geometry, from Alexandria.

Structure (POSCAR):
```
Pm4NdHo5
1.0
3.5444 0.0000 0.0000
1.7689 8.6128 0.0000
0.0076 0.0361 11.2034
Pm Nd Ho
4 1 5
direct
0.0284 0.4390 0.2477 Pm
0.3410 0.8109 0.2502 Pm
0.6590 0.1891 0.7498 Pm
0.9716 0.5610 0.7523 Pm
0.5000 0.5000 0.5000 Nd
0.1742 0.1537 0.0484 Ho
0.1765 0.1504 0.4467 Ho
0.5000 0.5000 0.0000 Ho
0.8235 0.8496 0.5533 Ho
0.8258 0.8463 0.9516 Ho
```

Values from the calculation:
E above lowest polymorph ... 0.0000 eV/atom
N(E_F) ... 14.0 states/eV per cell
M_tot ... 0.00 μB per cell
Calculated formation energy ... 0.192 eV per atom



The following is a GGA-PBE calculation of crystalline Pm3NdHo12 at its relaxed geometry, from Alexandria.

Structure (POSCAR):
```
Pm3NdHo12
1.0
5.0270 0.0000 0.0000
0.0000 5.0270 0.0000
0.0000 0.0000 20.1341
Pm Nd Ho
3 1 12
direct
0.0000 0.0000 0.0000 Pm
0.0000 0.0000 0.2498 Pm
0.0000 0.0000 0.7502 Pm
0.0000 0.0000 0.5000 Nd
0.0000 0.5000 0.1249 Ho
0.0000 0.5000 0.3746 Ho
0.0000 0.5000 0.6254 Ho
0.0000 0.5000 0.8751 Ho
0.5000 0.0000 0.1249 Ho
0.5000 0.0000 0.3746 Ho
0.5000 0.0000 0.6254 Ho
0.5000 0.0000 0.8751 Ho
0.5000 0.5000 0.0000 Ho
0.5000 0.5000 0.2497 Ho
0.5000 0.5000 0.5000 Ho
0.5000 0.5000 0.7503 Ho
```

Values from the calculation:
N(E_F) ... 22.0 states/eV per cell
M_tot ... 0.00 μB per cell
Calculated formation energy ... 0.021 eV per atom



The following is a GGA-PBE calculation of crystalline Pm2Nd7Ho3 at its relaxed geometry, from Alexandria.

Structure (POSCAR):
```
Pm2Nd7Ho3
1.0
2.9207 -19.2562 0.0000
2.9207 19.2562 0.0000
0.0000 0.0000 3.6615
Pm Nd Ho
2 7 3
direct
0.1487 0.8513 0.0000 Pm
0.8513 0.1487 0.0000 Pm
0.0000 0.0000 0.0000 Nd
0.0720 0.9280 0.5000 Nd
0.2317 0.7683 0.0000 Nd
0.4085 0.5915 0.0000 Nd
0.5915 0.4085 0.0000 Nd
0.7683 0.2317 0.0000 Nd
0.9280 0.0720 0.5000 Nd
0.3150 0.6850 0.5000 Ho
0.5000 0.5000 0.5000 Ho
0.6850 0.3150 0.5000 Ho
```

Values from the calculation:
E above lowest polymorph ... 0.0000 eV/atom
N(E_F) ... 19.9 states/eV per cell
M_tot ... 0.00 μB per cell
Calculated formation energy ... 0.113 eV per atom



The following is a GGA-PBE calculation of crystalline PmNd15Ho4 at its relaxed geometry, from Alexandria.

Structure (POSCAR):
```
PmNd15Ho4
1.0
5.1654 0.0000 0.0000
0.0000 5.1654 0.0000
0.0000 0.0000 25.7259
Pm Nd Ho
1 15 4
direct
0.0000 0.0000 0.0000 Pm
0.0000 0.5000 0.1014 Nd
0.0000 0.5000 0.3008 Nd
0.0000 0.5000 0.5000 Nd
0.0000 0.5000 0.6992 Nd
0.0000 0.5000 0.8986 Nd
0.5000 0.0000 0.1014 Nd
0.5000 0.0000 0.3008 Nd
0.5000 0.0000 0.5000 Nd
0.5000 0.0000 0.6992 Nd
0.5000 0.0000 0.8986 Nd
0.5000 0.5000 0.0000 Nd
0.5000 0.5000 0.2015 Nd
0.5000 0.5000 0.4003 Nd
0.5000 0.5000 0.5997 Nd
0.5000 0.5000 0.7985 Nd
0.0000 0.0000 0.2012 Ho
0.0000 0.0000 0.4004 Ho
0.0000 0.0000 0.5996 Ho
0.0000 0.0000 0.7988 Ho
```

Values from the calculation:
N(E_F) ... 27.6 states/eV per cell
M_tot ... 0.00 μB per cell
Calculated formation energy ... 0.012 eV per atom



The following is a GGA-PBE calculation of crystalline Pm4Nd3Ho4 at its relaxed geometry, from Alexandria.

Structure (POSCAR):
```
Pm4Nd3Ho4
1.0
10.7543 0.0000 0.0000
0.0000 2.8779 6.0506
0.0000 -2.8779 6.0506
Pm Nd Ho
4 3 4
direct
0.0000 0.0000 0.0000 Pm
0.2120 0.7926 0.7926 Pm
0.5000 0.9245 0.9245 Pm
0.7880 0.7926 0.7926 Pm
0.0000 0.2941 0.2941 Nd
0.2913 0.4498 0.4498 Nd
0.7087 0.4498 0.4498 Nd
0.0000 0.5956 0.5956 Ho
0.3019 0.1444 0.1444 Ho
0.5000 0.6526 0.6526 Ho
0.6981 0.1444 0.1444 Ho
```

Values from the calculation:
E above lowest polymorph ... 0.0216 eV/atom
N(E_F) ... 17.3 states/eV per cell
M_tot ... 0.00 μB per cell
Calculated formation energy ... 0.152 eV per atom



The following is a GGA-PBE calculation of crystalline Pm3NdHo at its relaxed geometry, from Alexandria.

Structure (POSCAR):
```
Pm3NdHo
1.0
10.2714 0.0000 0.0000
0.0000 4.8706 3.4924
0.0000 -4.8706 3.4924
Pm Nd Ho
6 2 2
direct
0.0649 0.1509 0.8491 Pm
0.2500 0.6462 0.8304 Pm
0.4351 0.1509 0.8491 Pm
0.5649 0.8491 0.1509 Pm
0.7500 0.8304 0.6462 Pm
0.9351 0.8491 0.1509 Pm
0.2500 0.9873 0.3779 Nd
0.7500 0.3779 0.9873 Nd
0.0000 0.4556 0.4556 Ho
0.5000 0.4556 0.4556 Ho
```

Values from the calculation:
E above lowest polymorph ... 0.0245 eV/atom
N(E_F) ... 14.2 states/eV per cell
M_tot ... 0.00 μB per cell
Calculated formation energy ... 0.216 eV per atom



The following is a GGA-PBE calculation of crystalline Pm5Nd2Ho2 at its relaxed geometry, from Alexandria.

Structure (POSCAR):
```
Pm5Nd2Ho2
1.0
8.7852 -1.7836 0.0000
8.7852 1.7836 0.0000
-1.6561 0.0000 9.7353
Pm Nd Ho
5 2 2
direct
0.0000 0.0000 0.0000 Pm
0.1559 0.1559 0.5388 Pm
0.3366 0.3366 0.7802 Pm
0.6634 0.6634 0.2198 Pm
0.8441 0.8441 0.4612 Pm
0.3239 0.3239 0.1235 Nd
0.6761 0.6761 0.8765 Nd
0.4975 0.4975 0.3316 Ho
0.5025 0.5025 0.6684 Ho
```

Values from the calculation:
E above lowest polymorph ... 0.0000 eV/atom
N(E_F) ... 14.5 states/eV per cell
M_tot ... 0.00 μB per cell
Calculated formation energy ... 0.046 eV per atom



The following is a GGA-PBE calculation of crystalline Pm2NdHo5 at its relaxed geometry, from Alexandria.

Structure (POSCAR):
```
Pm2NdHo5
1.0
7.1519 0.0000 0.0000
0.0000 14.3104 0.0000
0.0000 0.0000 5.0497
Pm Nd Ho
4 2 10
direct
0.2476 0.1258 0.0000 Pm
0.2524 0.6258 0.0000 Pm
0.7476 0.3742 0.0000 Pm
0.7524 0.8742 0.0000 Pm
0.0000 0.5000 0.5000 Nd
0.5000 0.0000 0.5000 Nd
0.0000 0.0000 0.5000 Ho
0.0023 0.7510 0.5000 Ho
0.2485 0.3744 0.0000 Ho
0.2515 0.8744 0.0000 Ho
0.4977 0.2510 0.5000 Ho
0.5000 0.5000 0.5000 Ho
0.5023 0.7490 0.5000 Ho
0.7485 0.1256 0.0000 Ho
0.7515 0.6256 0.0000 Ho
0.9977 0.2490 0.5000 Ho
```

Values from the calculation:
E above lowest polymorph ... 0.0000 eV/atom
N(E_F) ... 20.9 states/eV per cell
M_tot ... 0.00 μB per cell
Calculated formation energy ... 0.018 eV per atom



The following is a GGA-PBE calculation of crystalline Pm5Nd2Ho2 at its relaxed geometry, from Alexandria.

Structure (POSCAR):
```
Pm5Nd2Ho2
1.0
-7.4995 5.9808 3.4280
7.4995 -5.9808 3.4280
7.4995 5.9808 -3.4280
Pm Nd Ho
10 4 4
direct
0.0577 0.0502 0.5075 Pm
0.0651 0.4733 0.8780 Pm
0.0651 0.6871 0.0918 Pm
0.2488 0.0528 0.3016 Pm
0.2488 0.4472 0.6960 Pm
0.5426 0.5502 0.4925 Pm
0.5954 0.1871 0.1220 Pm
0.5954 0.9733 0.9082 Pm
0.7512 0.5528 0.3040 Pm
0.7512 0.9472 0.6984 Pm
0.1474 0.2767 0.1234 Nd
0.1474 0.5241 0.3708 Nd
0.1533 0.0241 0.8766 Nd
0.1533 0.7767 0.6292 Nd
0.6011 0.8597 0.2414 Ho
0.6183 0.3597 0.7586 Ho
0.6793 0.1793 0.5000 Ho
0.6793 0.6793 0.0000 Ho
```

Values from the calculation:
E above lowest polymorph ... 0.1583 eV/atom
N(E_F) ... 26.9 states/eV per cell
M_tot ... 0.00 μB per cell
Calculated formation energy ... 0.204 eV per atom



The following is a GGA-PBE calculation of crystalline Pm4Nd10Ho at its relaxed geometry, from Alexandria.

Structure (POSCAR):
```
Pm4Nd10Ho
1.0
-6.2306 6.2306 3.9303
6.2306 -6.2306 3.9303
6.2306 6.2306 -3.9303
Pm Nd Ho
4 10 1
direct
0.1005 0.7008 0.8013 Pm
0.2992 0.1005 0.3997 Pm
0.7008 0.8995 0.6003 Pm
0.8995 0.2992 0.1987 Pm
0.0525 0.3505 0.8999 Nd
0.1526 0.0525 0.7020 Nd
0.2500 0.7500 0.5000 Nd
0.3505 0.4506 0.2980 Nd
0.4506 0.1526 0.1001 Nd
0.5494 0.8474 0.8999 Nd
0.6495 0.5494 0.7020 Nd
0.7500 0.2500 0.5000 Nd
0.8474 0.9475 0.2980 Nd
0.9475 0.6495 0.1001 Nd
0.5000 0.5000 0.0000 Ho
```

Values from the calculation:
N(E_F) ... 24.5 states/eV per cell
M_tot ... 0.00 μB per cell
Calculated formation energy ... 0.704 eV per atom



The following is a GGA-PBE calculation of crystalline Pm6Nd8Ho at its relaxed geometry, from Alexandria.

Structure (POSCAR):
```
Pm6Nd8Ho
1.0
4.6453 2.6820 7.0300
-4.6453 2.6820 7.0300
0.0000 -5.3640 7.0300
Pm Nd Ho
6 8 1
direct
0.0396 0.7405 0.5980 Pm
0.2595 0.4020 0.9604 Pm
0.4020 0.9604 0.2595 Pm
0.5980 0.0396 0.7405 Pm
0.7405 0.5980 0.0396 Pm
0.9604 0.2595 0.4020 Pm
0.0778 0.0778 0.0778 Nd
0.2171 0.2505 0.6128 Nd
0.2505 0.6128 0.2171 Nd
0.3871 0.7829 0.7495 Nd
0.6128 0.2171 0.2505 Nd
0.7495 0.3872 0.7829 Nd
0.7829 0.7495 0.3872 Nd
0.9222 0.9222 0.9222 Nd
0.5000 0.5000 0.5000 Ho
```

Values from the calculation:
N(E_F) ... 22.0 states/eV per cell
M_tot ... 0.00 μB per cell
Calculated formation energy ... 0.111 eV per atom



The following is a GGA-PBE calculation of crystalline Pm7Nd12Ho at its relaxed geometry, from Alexandria.

Structure (POSCAR):
```
Pm7Nd12Ho
1.0
9.4692 5.4670 2.3134
-9.4692 5.4670 2.3134
0.0000 -10.9341 2.3134
Pm Nd Ho
7 12 1
direct
0.0000 0.0000 0.0000 Pm
0.1223 0.4267 0.2837 Pm
0.2837 0.1223 0.4267 Pm
0.4267 0.2837 0.1223 Pm
0.5733 0.7163 0.8777 Pm
0.7163 0.8777 0.5733 Pm
0.8777 0.5733 0.7163 Pm
0.0015 0.7878 0.5740 Nd
0.2122 0.4260 0.9985 Nd
0.2288 0.7517 0.2959 Nd
0.2483 0.7041 0.7712 Nd
0.2959 0.2288 0.7517 Nd
0.4260 0.9985 0.2122 Nd
0.5740 0.0015 0.7878 Nd
0.7041 0.7712 0.2483 Nd
0.7517 0.2959 0.2288 Nd
0.7712 0.2483 0.7041 Nd
0.7878 0.5740 0.0015 Nd
0.9985 0.2122 0.4260 Nd
0.5000 0.5000 0.5000 Ho
```

Values from the calculation:
E above lowest polymorph ... 0.0521 eV/atom
N(E_F) ... 25.0 states/eV per cell
M_tot ... 0.00 μB per cell
Calculated formation energy ... 0.271 eV per atom



The following is a GGA-PBE calculation of crystalline Pm4Nd6Ho at its relaxed geometry, from Alexandria.

Structure (POSCAR):
```
Pm4Nd6Ho
1.0
-3.3870 3.3870 8.5528
3.3870 -3.3870 8.5528
3.3870 3.3870 -8.5528
Pm Nd Ho
4 6 1
direct
0.1998 0.1998 0.6474 Pm
0.4475 0.8002 0.0000 Pm
0.5525 0.5525 0.3526 Pm
0.8002 0.4475 0.0000 Pm
0.0000 0.5000 0.5000 Nd
0.0131 0.6340 0.0000 Nd
0.3660 0.3660 0.3791 Nd
0.5000 0.0000 0.5000 Nd
0.6340 0.0131 0.0000 Nd
0.9869 0.9869 0.6209 Nd
0.0000 0.0000 0.0000 Ho
```

Values from the calculation:
N(E_F) ... 17.0 states/eV per cell
M_tot ... 0.00 μB per cell
Calculated formation energy ... 0.279 eV per atom



The following is a GGA-PBE calculation of crystalline Pm3Nd6Ho at its relaxed geometry, from Alexandria.

Structure (POSCAR):
```
Pm3Nd6Ho
1.0
5.5106 -9.6979 0.0000
5.5106 9.6979 0.0000
0.0000 0.0000 6.5107
Pm Nd Ho
6 12 2
direct
0.1155 0.8845 0.5000 Pm
0.2096 0.4429 0.8817 Pm
0.4429 0.2096 0.3817 Pm
0.5571 0.7904 0.8817 Pm
0.7904 0.5571 0.3817 Pm
0.8845 0.1155 0.0000 Pm
0.0238 0.4412 0.2858 Nd
0.1285 0.2120 0.4754 Nd
0.2120 0.1285 0.9754 Nd
0.2223 0.7777 0.0704 Nd
0.4412 0.0238 0.7858 Nd
0.4655 0.5345 0.2826 Nd
0.5345 0.4655 0.7826 Nd
0.5588 0.9762 0.2858 Nd
0.7777 0.2223 0.5704 Nd
0.7880 0.8715 0.4754 Nd
0.8715 0.7880 0.9754 Nd
0.9762 0.5588 0.7858 Nd
0.3083 0.6917 0.5319 Ho
0.6917 0.3083 0.0319 Ho
```

Values from the calculation:
E above lowest polymorph ... 0.0000 eV/atom
N(E_F) ... 26.1 states/eV per cell
M_tot ... 0.00 μB per cell
Calculated formation energy ... 0.135 eV per atom



The following is a GGA-PBE calculation of crystalline Pm3Nd3Ho at its relaxed geometry, from Alexandria.

Structure (POSCAR):
```
Pm3Nd3Ho
1.0
4.3949 2.5374 7.4129
-4.3949 2.5374 7.4129
0.0000 -5.0748 7.4129
Pm Nd Ho
6 6 2
direct
0.0675 0.2205 0.5689 Pm
0.2205 0.5689 0.0675 Pm
0.4311 0.9325 0.7795 Pm
0.5689 0.0675 0.2205 Pm
0.7795 0.4311 0.9325 Pm
0.9325 0.7795 0.4311 Pm
0.2054 0.4376 0.6818 Nd
0.3182 0.7946 0.5624 Nd
0.4376 0.6818 0.2054 Nd
0.5624 0.3182 0.7946 Nd
0.6818 0.2054 0.4376 Nd
0.7946 0.5624 0.3182 Nd
0.1546 0.1546 0.1546 Ho
0.8454 0.8454 0.8454 Ho
```

Values from the calculation:
E above lowest polymorph ... 0.1939 eV/atom
N(E_F) ... 20.5 states/eV per cell
M_tot ... 0.00 μB per cell
Calculated formation energy ... 0.220 eV per atom



The following is a GGA-PBE calculation of crystalline Pm3Nd3Ho4 at its relaxed geometry, from Alexandria.

Structure (POSCAR):
```
Pm3Nd3Ho4
1.0
3.6750 0.0000 0.0000
0.0000 6.8082 6.8051
0.0000 -6.8082 6.8051
Pm Nd Ho
3 3 4
direct
0.0000 0.0000 0.0000 Pm
0.0000 0.1503 0.4995 Pm
0.0000 0.4995 0.1503 Pm
0.0000 0.6505 0.6505 Nd
0.5000 0.3245 0.8252 Nd
0.5000 0.8252 0.3245 Nd
0.5000 0.2023 0.2023 Ho
0.5000 0.4474 0.4474 Ho
0.5000 0.7030 0.9488 Ho
0.5000 0.9488 0.7030 Ho
```

Values from the calculation:
N(E_F) ... 9.9 states/eV per cell
M_tot ... 0.32 μB per cell
Calculated formation energy ... 0.090 eV per atom



The following is a GGA-PBE calculation of crystalline Pm7Nd4Ho at its relaxed geometry, from Alexandria.

Structure (POSCAR):
```
Pm7Nd4Ho
1.0
6.3611 0.0000 0.0000
0.0007 7.3518 0.0000
2.1295 0.0091 8.8534
Pm Nd Ho
7 4 1
direct
0.0000 0.0000 0.0000 Pm
0.2213 0.5002 0.3319 Pm
0.2773 0.2514 0.6700 Pm
0.4998 0.2516 0.9997 Pm
0.5002 0.7484 0.0003 Pm
0.7227 0.7486 0.3300 Pm
0.7787 0.4998 0.6681 Pm
0.2239 0.9998 0.3322 Nd
0.2775 0.7484 0.6698 Nd
0.7225 0.2516 0.3302 Nd
0.7761 0.0002 0.6678 Nd
0.0000 0.5000 0.0000 Ho
```

Values from the calculation:
E above lowest polymorph ... 0.0000 eV/atom
N(E_F) ... 15.1 states/eV per cell
M_tot ... 0.00 μB per cell
Calculated formation energy ... 0.012 eV per atom



The following is a GGA-PBE calculation of crystalline Pm2NdHo at its relaxed geometry, from Alexandria.

Structure (POSCAR):
```
Pm2NdHo
1.0
0.0000 4.0809 4.0809
4.0809 0.0000 4.0809
4.0809 4.0809 0.0000
Pm Nd Ho
2 1 1
direct
0.2500 0.2500 0.2500 Pm
0.7500 0.7500 0.7500 Pm
0.0000 0.0000 0.0000 Nd
0.5000 0.5000 0.5000 Ho
```

Values from the calculation:
E above lowest polymorph ... 0.1247 eV/atom
N(E_F) ... 10.9 states/eV per cell
M_tot ... 0.02 μB per cell
Calculated formation energy ... 0.140 eV per atom



The following is a GGA-PBE calculation of crystalline Pm2NdHo7 at its relaxed geometry, from Alexandria.

Structure (POSCAR):
```
Pm2NdHo7
1.0
3.2508 -14.4253 0.0000
3.2508 14.4253 0.0000
0.0000 0.0000 3.5116
Pm Nd Ho
2 1 7
direct
0.2077 0.7923 0.0000 Pm
0.7923 0.2077 0.0000 Pm
0.5000 0.5000 0.5000 Nd
0.0000 0.0000 0.0000 Ho
0.1532 0.3515 0.0000 Ho
0.3145 0.6855 0.5000 Ho
0.3515 0.1532 0.0000 Ho
0.6485 0.8468 0.0000 Ho
0.6855 0.3145 0.5000 Ho
0.8468 0.6485 0.0000 Ho
```

Values from the calculation:
E above lowest polymorph ... 0.1171 eV/atom
N(E_F) ... 17.0 states/eV per cell
M_tot ... 0.00 μB per cell
Calculated formation energy ... 0.167 eV per atom